1.
{
  "formula": "SmEr3Se4",
  "functional": "GGA-PBE",
  "state": "relaxed",
  "rho_g_cm3": 8.42,
  "formation_energy_uncorrected_ev_per_atom": -1.72,
  "polymorph_energy_ev_per_atom": 0.000,
  "spacegroup": "Cmmm, No. 65",
  "dft_energy_ev_per_cell": -92.2,
  "lattice_angstrom": [[8.2622, 0.0000, 0.0000], [0.0000, 11.5212, 0.0000], [0.0000, 0.0000, 4.0114]],
  "species": ["Sm", "Sm", "Er", "Er", "Er", "Er", "Er", "Er", "Se", "Se", "Se", "Se", "Se", "Se", "Se", "Se"],
  "frac_coords": [[0.0000, 0.0000, 0.0000], [0.5000, 0.5000, 0.0000], [0.0000, 0.5000, 0.0000], [0.2500, 0.2500, 0.5000], [0.2500, 0.7500, 0.5000], [0.5000, 0.0000, 0.0000], [0.7500, 0.2500, 0.5000], [0.7500, 0.7500, 0.5000], [0.0000, 0.2542, 0.0000], [0.0000, 0.7458, 0.0000], [0.2415, 0.5000, 0.5000], [0.2585, 0.0000, 0.5000], [0.5000, 0.2458, 0.0000], [0.5000, 0.7542, 0.0000], [0.7415, 0.0000, 0.5000], [0.7585, 0.5000, 0.5000]]
}

2.
{
  "formula": "Mg2MnIr",
  "functional": "GGA-PBE",
  "state": "relaxed",
  "rho_g_cm3": 7.72,
  "polymorph_energy_ev_per_atom": 0.002,
  "spacegroup": "F-43m, No. 216",
  "dft_energy_ev_per_cell": -87.0,
  "e_form_mev_per_atom": -129.8,
  "lattice_angstrom": [[6.3383, 0.0000, 0.0000], [0.0000, 6.3383, 0.0000], [0.0000, 0.0000, 6.3383]],
  "species": ["Mg", "Mg", "Mg", "Mg", "Mg", "Mg", "Mg", "Mg", "Mn", "Mn", "Mn", "Mn", "Ir", "Ir", "Ir", "Ir"],
  "frac_coords": [[0.0000, 0.0000, 0.0000], [0.0000, 0.5000, 0.5000], [0.2500, 0.2500, 0.2500], [0.2500, 0.7500, 0.7500], [0.5000, 0.0000, 0.5000], [0.5000, 0.5000, 0.0000], [0.7500, 0.2500, 0.7500], [0.7500, 0.7500, 0.2500], [0.0000, 0.0000, 0.5000], [0.0000, 0.5000, 0.0000], [0.5000, 0.0000, 0.0000], [0.5000, 0.5000, 0.5000], [0.2500, 0.2500, 0.7500], [0.2500, 0.7500, 0.2500], [0.7500, 0.2500, 0.2500], [0.7500, 0.7500, 0.7500]]
}

3.
{
  "formula": "Sc2SeBr",
  "functional": "GGA-PBE",
  "state": "relaxed",
  "rho_g_cm3": 4.30,
  "formation_energy_uncorrected_ev_per_atom": -0.96,
  "polymorph_energy_ev_per_atom": 0.281,
  "spacegroup": "P2/m, No. 10",
  "dft_energy_ev_per_cell": -21.6,
  "lattice_angstrom": [[3.6402, 0.0000, 0.0000], [0.0000, 4.0503, 0.0000], [-0.2811, 0.0000, 6.5095]],
  "species": ["Sc", "Sc", "Se", "Br"],
  "frac_coords": [[0.2063, 0.0000, 0.2939], [0.7937, 0.0000, 0.7061], [0.5000, 0.5000, 0.5000], [0.0000, 0.5000, 0.0000]]
}

4.
{
  "formula": "MnAgW",
  "functional": "GGA-PBE",
  "state": "relaxed",
  "rho_g_cm3": 12.43,
  "polymorph_energy_ev_per_atom": 0.126,
  "spacegroup": "Imm2, No. 44",
  "dft_energy_ev_per_cell": -46.6,
  "e_form_mev_per_atom": 552.0,
  "lattice_angstrom": [[2.7424, 0.0000, 0.0000], [0.0000, 3.8810, 0.0000], [0.0000, 0.0000, 8.7017]],
  "species": ["Mn", "Mn", "Ag", "Ag", "W", "W"],
  "frac_coords": [[0.0000, 0.0000, 0.0000], [0.5000, 0.5000, 0.5000], [0.0000, 0.0000, 0.3268], [0.5000, 0.5000, 0.8268], [0.0000, 0.0000, 0.6456], [0.5000, 0.5000, 0.1456]]
}